No. 1
Material: Li4SiSb
Method: DFT, GGA-PBE
State: relaxed

**Total energy**: -3.241 eV per atom

Cell lengths 14.2431, 7.1464, 4.6679 Å; angles 90.00, 109.07, 90.00 degrees
Last column: nearest neighbours and their distance in Å.
Space group C2/m (No. 12)
Asymmetric unit:
Li1 0.0000 0.1786 0.0000  1 Li 2.55, 2 Si 2.58, 2 Sb 2.77
Li2 0.1458 0.2490 0.6459  5 Li 2.88-3.09, 2 Si 2.90, 3 Sb 2.93-2.98
Li3 0.1863 0.5000 0.1860  2 Si 2.77, 6 Li 2.88-2.99, 2 Sb 2.93
Si1 0.0000 0.5000 0.2527  2 Si 2.31-2.36, 2 Li 2.58
Sb1 0.1825 0.0000 0.1832  10 Li 2.77-2.98

---

No. 2
Material: ZrBrCl2
Method: DFT, GGA-PBE
State: relaxed

**Total energy**: -3.930 eV per atom

Cell lengths 4.3619, 4.3619, 4.4949 Å; angles 90.00, 90.00, 90.00 degrees
Last column: nearest neighbours and their distance in Å.
Space group P4/mmm (No. 123)
Asymmetric unit:
Zr1 0.0000 0.0000 0.0000  4 Br 3.08, 8 Cl 3.13
Br1 0.5000 0.5000 0.0000  4 Zr 3.08, 8 Cl 3.13
Cl1 0.0000 0.5000 0.5000  4 Cl 3.08, 4 Br 3.13, 4 Zr 3.13